#a
The following is a DFT calculation (PBE) of a relaxed Al2AgI8 crystal.

Properties
**M_tot**: 0.00 μB/f.u.
**Density of states at the Fermi level**: 6.0 states/eV/cell

The structure in extended XYZ format:
```
11
Lattice="-2.3549 6.2564 -3.3868 -6.6556 0.0435 5.4246 3.1434 4.4042 6.6668" Properties=species:S:1:pos:R:3 pbc="T T T"
Al -4.3136 7.6561 7.1499
Al -1.5535 3.0480 1.5547
Ag 0.0000 0.0000 0.0000
I 0.5017 5.3162 7.1571
I -0.1505 8.1552 2.3358
I -3.5335 5.5614 8.3502
I -2.3335 5.1427 0.3544
I -5.7166 2.5489 6.3688
I -6.3687 5.3879 1.5475
I -3.9600 7.5687 4.6680
I -1.9071 3.1354 4.0366
```


#b
The following is a DFT calculation (PBE) of a relaxed Al2AgI8 crystal.

Properties
**M_tot**: 0.00 μB/f.u.
**Density of states at the Fermi level**: 16.9 states/eV/cell

The structure in extended XYZ format:
```
11
Lattice="-4.9288 -3.6219 -6.6283 4.5138 4.1553 -5.6270 2.3447 -7.6135 2.4168" Properties=species:S:1:pos:R:3 pbc="T T T"
Al -0.1179 -2.6399 -8.2022
Al 2.0476 -4.4402 -1.6364
Ag -2.4644 -1.8110 -3.3142
I -1.4927 -7.0418 -6.3975
I 3.4224 -0.0383 -3.4411
I 0.1005 -2.7927 -1.9817
I 1.8292 -4.2875 -7.8569
I -1.7222 -2.4967 -6.1946
I 3.6519 -4.5834 -3.6440
I 1.3146 -6.7351 -0.7302
I 0.6151 -0.3451 -9.1083
```


Of them, #a has the highest stability.